Entry 1:
The following is a DFT calculation (PBE-GGA) of a relaxed Tb6Ge2SbTe3 crystal.

a b c (Å): 18.904 4.304 8.715
angles (deg): 90.00 103.78 90.00
Space group C2/m (No. 12)
Symmetry-distinct sites (fractional):
Tb  0.011  0.000  0.251
Tb  0.167  0.500  0.108
Tb  0.174  0.500  0.568
Ge  0.168  0.000  0.335
Sb  0.000  0.500  0.000
Te  0.000  0.500  0.500
Te  0.163  0.000  0.834

Results
formation energy from raw total energies: -1.24 eV/atom
DOS at the Fermi energy: 0.198 states/eV/atom

Entry 2:
The following is a DFT calculation (PBE-GGA) of a relaxed Tb6GeSb2Te3 crystal.

a b c (Å): 19.065 4.346 8.755
angles (deg): 90.00 103.48 90.00
Space group C2/m (No. 12)
Symmetry-distinct sites (fractional):
Tb  0.001  0.000  0.225
Tb  0.155  0.500  0.082
Tb  0.168  0.500  0.577
Ge  0.000  0.500  0.000
Sb  0.167  0.000  0.333
Te  0.000  0.500  0.500
Te  0.170  0.000  0.835

Results
formation energy from raw total energies: -1.27 eV/atom
DOS at the Fermi energy: 0.333 states/eV/atom

Q: Among the records above, which one has the highest formation energy from raw total energies?
A: Tb6Ge2SbTe3

Q: Which value of formation energy from raw total energies does entry 1 give?
A: -1.24 eV/atom

Q: The highest DOS at the Fermi energy belongs to which entry?
A: Tb6GeSb2Te3